Entry 1:
Below is a relaxed structure of MgZn2Ga2Ag2, with properties calculated at the PBE-GGA level.

Computed properties:
energy relative to the elements	-0.0461	eV per atom

a b c (Å): 8.9677 4.0807 6.6288
angles (deg): 90.00 94.40 90.00
Space group C2/m (No. 12)
One atom of each set of equivalent atoms:
Mg 0.0000 0.0000 0.0000 (multiplicity 2)
Zn 0.1398 0.0000 0.4305 (multiplicity 4)
Ga 0.2140 0.5000 0.1626 (multiplicity 4)
Ag 0.0749 0.5000 0.7085 (multiplicity 4)

Entry 2:
Below is a relaxed structure of K2VRu, with properties calculated at the PBE-GGA level.

Computed properties:
energy relative to the elements	1.7761	eV per atom

a b c (Å): 7.7476 7.7476 7.7476
angles (deg): 90.00 90.00 90.00
Space group Fm-3m (No. 225)
One atom of each set of equivalent atoms:
K 0.2500 0.2500 0.2500 (multiplicity 8)
V 0.0000 0.0000 0.0000 (multiplicity 4)
Ru 0.0000 0.0000 0.5000 (multiplicity 4)

Entry 3:
Below is a relaxed structure of BaCdSe2, with properties calculated at the PBE-GGA level.

Computed properties:
energy relative to the elements, uncorrected	-3.713	eV per formula unit

a b c (Å): 7.5278 7.5010 3.9295
angles (deg): 90.00 90.13 90.00
Space group C2/m (No. 12)
One atom of each set of equivalent atoms:
Ba 0.0000 0.0000 0.0000 (multiplicity 2)
Cd 0.0000 0.5000 0.0000 (multiplicity 2)
Se 0.2500 0.2500 0.5000 (multiplicity 4)

Entry 4:
Below is a relaxed structure of HoAlGaPt3, with properties calculated at the PBE-GGA level.

Computed properties:
energy relative to the elements	-0.8229	eV per atom

a b c (Å): 5.6117 15.9927 5.5881
angles (deg): 90.00 90.00 90.00
Space group Cmcm (No. 63)
One atom of each set of equivalent atoms:
Ho 0.0000 0.2025 0.2500 (multiplicity 4)
Al 0.0000 0.4064 0.7500 (multiplicity 4)
Ga 0.0000 0.0988 0.7500 (multiplicity 4)
Pt 0.0000 0.2533 0.7500 (multiplicity 4)
Pt 0.2489 0.0000 0.0000 (multiplicity 8)

Entry 5:
Below is a relaxed structure of LaNd5Hg4, with properties calculated at the PBE-GGA level.

Computed properties:
energy relative to the elements	-0.3758	eV per atom

a b c (Å): 3.8254 3.8254 20.3564
angles (deg): 90.00 90.00 90.00
Space group P4/mmm (No. 123)
One atom of each set of equivalent atoms:
La 0.0000 0.0000 0.0000 (multiplicity 1)
Nd 0.5000 0.5000 0.1229 (multiplicity 2)
Nd 0.5000 0.5000 0.3117 (multiplicity 2)
Nd 0.5000 0.5000 0.5000 (multiplicity 1)
Hg 0.0000 0.0000 0.2143 (multiplicity 2)
Hg 0.0000 0.0000 0.4053 (multiplicity 2)

Entry 6:
Below is a relaxed structure of SrCoRu2W, with properties calculated at the PBE-GGA level.

Computed properties:
energy relative to the elements	2.8759	eV per atom

a b c (Å): 4.6975 4.6975 4.4116
angles (deg): 90.00 90.00 90.00
Space group P4/mmm (No. 123)
One atom of each set of equivalent atoms:
Sr 0.0000 0.0000 0.0000 (multiplicity 1)
Co 0.0000 0.0000 0.5000 (multiplicity 1)
Ru 0.0000 0.5000 0.0000 (multiplicity 2)
W 0.5000 0.5000 0.5000 (multiplicity 1)

no.,magnetization (μB per formula unit)
1,0.0
2,2.7
3,0.0
4,0.0
5,1.4
6,3.0